(1)
Co3Re10 | GGA-PBE | optimized geometry

Output
Energy above the lowest structure with this stoichiometry, kJ/mol of atoms: 6.5
Space-group type: No. 166
Calculated density, kg/m³: 17814

Lattice parameters (Å, degrees): 9.100 9.100 9.100 32.19 32.19 32.19
Positions (direct):
Co  0.000  0.000  0.000
Co  0.347  0.347  0.347
Co  0.653  0.653  0.653
Re  0.093  0.093  0.586
Re  0.093  0.586  0.093
Re  0.166  0.166  0.166
Re  0.414  0.907  0.907
Re  0.451  0.451  0.451
Re  0.549  0.549  0.549
Re  0.586  0.093  0.093
Re  0.834  0.834  0.834
Re  0.907  0.414  0.907
Re  0.907  0.907  0.414

***

(2)
Co5Re8 | GGA-PBE | optimized geometry

Output
Energy above the lowest structure with this stoichiometry, kJ/mol of atoms: 0.0
Space-group type: No. 166
Calculated density, kg/m³: 16473

Lattice parameters (Å, degrees): 8.848 8.848 8.848 32.71 32.71 32.71
Positions (direct):
Co  0.000  0.000  0.000
Co  0.166  0.166  0.166
Co  0.456  0.456  0.456
Co  0.544  0.544  0.544
Co  0.834  0.834  0.834
Re  0.088  0.088  0.582
Re  0.088  0.582  0.088
Re  0.352  0.352  0.352
Re  0.418  0.912  0.912
Re  0.582  0.088  0.088
Re  0.648  0.648  0.648
Re  0.912  0.418  0.912
Re  0.912  0.912  0.418

***

(3)
Co11Re4 | GGA-PBE | optimized geometry

Output
Energy above the lowest structure with this stoichiometry, kJ/mol of atoms: 5.2
Space-group type: No. 136
Calculated density, kg/m³: 12965

Lattice parameters (Å, degrees): 8.883 8.883 4.522 90.00 90.00 90.00
Positions (direct):
Co  0.000  0.000  0.000
Co  0.033  0.368  0.500
Co  0.096  0.096  0.500
Co  0.132  0.533  0.000
Co  0.174  0.826  0.251
Co  0.174  0.826  0.749
Co  0.326  0.326  0.249
Co  0.326  0.326  0.751
Co  0.368  0.033  0.500
Co  0.404  0.596  0.000
Co  0.467  0.868  0.000
Co  0.500  0.500  0.500
Co  0.533  0.132  0.000
Co  0.596  0.404  0.000
Co  0.632  0.967  0.500
Co  0.674  0.674  0.249
Co  0.674  0.674  0.751
Co  0.826  0.174  0.251
Co  0.826  0.174  0.749
Co  0.868  0.467  0.000
Co  0.904  0.904  0.500
Co  0.967  0.632  0.500
Re  0.066  0.266  0.000
Re  0.234  0.566  0.500
Re  0.266  0.066  0.000
Re  0.434  0.766  0.500
Re  0.566  0.234  0.500
Re  0.734  0.934  0.000
Re  0.766  0.434  0.500
Re  0.934  0.734  0.000

***

(4)
Co14Re | GGA-PBE | optimized geometry

Output
Space-group type: No. 136
Calculated density, kg/m³: 10000

Lattice parameters (Å, degrees): 8.637 8.637 4.503 90.00 90.00 90.00
Positions (direct):
Co  0.039  0.368  0.000
Co  0.068  0.268  0.500
Co  0.101  0.101  0.000
Co  0.132  0.539  0.500
Co  0.184  0.816  0.248
Co  0.184  0.816  0.752
Co  0.232  0.568  0.000
Co  0.268  0.068  0.500
Co  0.316  0.316  0.252
Co  0.316  0.316  0.748
Co  0.368  0.039  0.000
Co  0.399  0.601  0.500
Co  0.432  0.768  0.000
Co  0.461  0.868  0.500
Co  0.539  0.132  0.500
Co  0.568  0.232  0.000
Co  0.601  0.399  0.500
Co  0.632  0.961  0.000
Co  0.684  0.684  0.252
Co  0.684  0.684  0.748
Co  0.732  0.932  0.500
Co  0.768  0.432  0.000
Co  0.816  0.184  0.248
Co  0.816  0.184  0.752
Co  0.868  0.461  0.500
Co  0.899  0.899  0.000
Co  0.932  0.732  0.500
Co  0.961  0.632  0.000
Re  0.000  0.000  0.500
Re  0.500  0.500  0.000

***

(5)
CoRe2 | GGA-PBE | optimized geometry

Output
Energy above the lowest structure with this stoichiometry, kJ/mol of atoms: 15.8
Space-group type: No. 63
Calculated density, kg/m³: 17580

Lattice parameters (Å, degrees): 4.886 4.886 7.824 90.00 90.00 119.25
Positions (direct):
Co  0.000  0.000  0.000
Co  0.000  0.000  0.500
Co  0.161  0.839  0.750
Co  0.839  0.161  0.250
Re  0.165  0.350  0.750
Re  0.329  0.671  0.063
Re  0.329  0.671  0.437
Re  0.350  0.165  0.250
Re  0.650  0.835  0.750
Re  0.671  0.329  0.563
Re  0.671  0.329  0.937
Re  0.835  0.650  0.250

***

(6)
CoRe5 | GGA-PBE | optimized geometry

Output
Energy above the lowest structure with this stoichiometry, kJ/mol of atoms: 4.3
Space-group type: No. 194
Calculated density, kg/m³: 18950

Lattice parameters (Å, degrees): 5.024 5.024 7.937 90.00 90.00 120.00
Positions (direct):
Co  0.000  0.000  0.000
Co  0.000  0.000  0.500
Re  0.170  0.341  0.250
Re  0.170  0.830  0.250
Re  0.333  0.667  0.566
Re  0.333  0.667  0.934
Re  0.341  0.170  0.750
Re  0.659  0.830  0.250
Re  0.667  0.333  0.066
Re  0.667  0.333  0.434
Re  0.830  0.170  0.750
Re  0.830  0.659  0.750

***

(7)
Co3Re10 | GGA-PBE | optimized geometry

Output
Energy above the lowest structure with this stoichiometry, kJ/mol of atoms: 1.3
Space-group type: No. 166
Calculated density, kg/m³: 17800

Lattice parameters (Å, degrees): 9.175 9.175 9.175 31.77 31.77 31.77
Positions (direct):
Co  0.000  0.000  0.000
Co  0.167  0.167  0.167
Co  0.833  0.833  0.833
Re  0.088  0.088  0.587
Re  0.088  0.587  0.088
Re  0.345  0.345  0.345
Re  0.413  0.912  0.912
Re  0.453  0.453  0.453
Re  0.547  0.547  0.547
Re  0.587  0.088  0.088
Re  0.655  0.655  0.655
Re  0.912  0.413  0.912
Re  0.912  0.912  0.413

***

(8)
Co10Re3 | GGA-PBE | optimized geometry

Output
Energy above the lowest structure with this stoichiometry, kJ/mol of atoms: 2.1
Space-group type: No. 166
Calculated density, kg/m³: 12483

Lattice parameters (Å, degrees): 8.802 8.802 8.802 30.18 30.18 30.18
Positions (direct):
Co  0.047  0.047  0.047
Co  0.082  0.592  0.592
Co  0.149  0.149  0.149
Co  0.408  0.408  0.918
Co  0.408  0.918  0.408
Co  0.592  0.082  0.592
Co  0.592  0.592  0.082
Co  0.851  0.851  0.851
Co  0.918  0.408  0.408
Co  0.953  0.953  0.953
Re  0.338  0.338  0.338
Re  0.500  0.500  0.500
Re  0.662  0.662  0.662

***

(9)
Co5Re7 | GGA-PBE | optimized geometry

Output
Energy above the lowest structure with this stoichiometry, kJ/mol of atoms: 17.4
Space-group type: No. 194
Calculated density, kg/m³: 15773

Lattice parameters (Å, degrees): 4.919 4.919 16.059 90.00 90.00 120.00
Positions (direct):
Co  0.000  0.500  0.000
Co  0.000  0.500  0.500
Co  0.333  0.667  0.154
Co  0.333  0.667  0.346
Co  0.500  0.000  0.000
Co  0.500  0.000  0.500
Co  0.500  0.500  0.000
Co  0.500  0.500  0.500
Co  0.667  0.333  0.654
Co  0.667  0.333  0.846
Re  0.000  0.000  0.082
Re  0.000  0.000  0.418
Re  0.000  0.000  0.582
Re  0.000  0.000  0.918
Re  0.162  0.324  0.750
Re  0.162  0.838  0.750
Re  0.324  0.162  0.250
Re  0.333  0.667  0.620
Re  0.333  0.667  0.880
Re  0.667  0.333  0.120
Re  0.667  0.333  0.380
Re  0.676  0.838  0.750
Re  0.838  0.162  0.250
Re  0.838  0.676  0.250

***

(10)
Co13Re2 | GGA-PBE | optimized geometry

Output
Space-group type: No. 136
Calculated density, kg/m³: 11118

Lattice parameters (Å, degrees): 8.675 8.675 4.519 90.00 90.00 90.00
Positions (direct):
Co  0.000  0.000  0.000
Co  0.037  0.370  0.500
Co  0.066  0.265  0.000
Co  0.130  0.537  0.000
Co  0.184  0.816  0.250
Co  0.184  0.816  0.750
Co  0.235  0.566  0.500
Co  0.265  0.066  0.000
Co  0.316  0.316  0.250
Co  0.316  0.316  0.750
Co  0.370  0.037  0.500
Co  0.434  0.765  0.500
Co  0.463  0.870  0.000
Co  0.500  0.500  0.500
Co  0.537  0.130  0.000
Co  0.566  0.235  0.500
Co  0.630  0.963  0.500
Co  0.684  0.684  0.250
Co  0.684  0.684  0.750
Co  0.735  0.934  0.000
Co  0.765  0.434  0.500
Co  0.816  0.184  0.250
Co  0.816  0.184  0.750
Co  0.870  0.463  0.000
Co  0.934  0.735  0.000
Co  0.963  0.630  0.500
Re  0.100  0.100  0.500
Re  0.400  0.600  0.000
Re  0.600  0.400  0.000
Re  0.900  0.900  0.500

***

(11)
Co5Re7 | GGA-PBE | optimized geometry

Output
Energy above the lowest structure with this stoichiometry, kJ/mol of atoms: 0.0
Space-group type: No. 194
Calculated density, kg/m³: 16608

Lattice parameters (Å, degrees): 4.912 4.912 15.292 90.00 90.00 120.00
Positions (direct):
Co  0.157  0.314  0.250
Co  0.157  0.843  0.250
Co  0.314  0.157  0.750
Co  0.333  0.667  0.135
Co  0.333  0.667  0.365
Co  0.667  0.333  0.635
Co  0.667  0.333  0.865
Co  0.686  0.843  0.250
Co  0.843  0.157  0.750
Co  0.843  0.686  0.750
Re  0.000  0.000  0.095
Re  0.000  0.000  0.405
Re  0.000  0.000  0.595
Re  0.000  0.000  0.905
Re  0.000  0.500  0.000
Re  0.000  0.500  0.500
Re  0.333  0.667  0.664
Re  0.333  0.667  0.836
Re  0.500  0.000  0.000
Re  0.500  0.000  0.500
Re  0.500  0.500  0.000
Re  0.500  0.500  0.500
Re  0.667  0.333  0.164
Re  0.667  0.333  0.336

***

(12)
Co5Re8 | GGA-PBE | optimized geometry

Output
Energy above the lowest structure with this stoichiometry, kJ/mol of atoms: 4.6
Space-group type: No. 166
Calculated density, kg/m³: 16132

Lattice parameters (Å, degrees): 8.966 8.966 8.966 32.37 32.37 32.37
Positions (direct):
Co  0.000  0.000  0.000
Co  0.355  0.355  0.355
Co  0.453  0.453  0.453
Co  0.547  0.547  0.547
Co  0.645  0.645  0.645
Re  0.094  0.094  0.583
Re  0.094  0.583  0.094
Re  0.165  0.165  0.165
Re  0.417  0.906  0.906
Re  0.583  0.094  0.094
Re  0.835  0.835  0.835
Re  0.906  0.417  0.906
Re  0.906  0.906  0.417

***

Summary of formation energy in eV per atom
0.294; 0.310; 0.170; 0.120; 0.191; 0.249; 0.240; 0.143; 0.419; 0.091; 0.239; 0.358
(order as listed above)